1.
! In3Sn5O12, optimized geometry, DFT PBE; values from VASP
! - E_form (uncorrected) (meV per atom) = -1235
! - calculated total energy (eV per atom) = -5.62
&SYSTEM
  ibrav = 0, nat = 80, ntyp = 3
/
ATOMIC_SPECIES
In 114.82 In.upf
Sn 118.71 Sn.upf
O 16.00 O.upf
CELL_PARAMETERS angstrom
11.725 0.000 0.000
-3.908 11.054 0.000
-3.908 -5.527 9.573
ATOMIC_POSITIONS angstrom
In 6.839 3.454 1.197
In 6.839 7.600 1.197
In -0.977 4.836 5.983
In 0.977 -0.691 3.590
In 8.794 0.000 2.393
In 0.977 5.527 2.393
In 2.931 0.000 7.180
In -4.885 5.527 7.180
In 2.931 6.218 5.983
In 4.885 0.691 3.590
In -2.931 -2.073 8.377
In -2.931 2.073 8.377
Sn -0.977 2.764 2.393
Sn -1.954 5.527 0.000
Sn 0.000 0.000 0.000
Sn 2.931 2.073 1.197
Sn 3.908 -2.764 4.787
Sn 3.908 5.527 0.000
Sn -2.931 6.218 3.590
Sn 4.885 -3.454 8.377
Sn 4.885 4.836 3.590
Sn 0.977 -2.764 7.180
Sn 2.931 8.291 2.393
Sn 1.954 2.764 4.787
Sn 5.862 0.000 0.000
Sn -1.954 -2.764 4.787
Sn -0.977 0.691 5.983
Sn -0.977 8.982 1.197
Sn -3.908 2.764 4.787
Sn 6.839 -0.691 5.983
Sn 0.977 3.454 8.377
Sn 4.885 2.764 7.180
O 7.604 1.190 0.159
O 0.213 3.496 3.835
O 8.829 2.547 2.942
O 4.850 1.489 1.110
O 1.412 3.920 6.473
O 8.499 5.652 1.686
O -1.012 6.584 4.052
O -2.896 9.565 1.110
O 0.542 7.134 6.473
O 5.180 5.402 1.686
O 6.075 3.221 3.676
O 6.075 9.864 0.159
O -3.366 4.802 4.945
O 2.637 4.004 0.735
O -4.121 7.833 3.676
O 2.167 -2.031 5.738
O -0.542 0.882 1.845
O 2.637 6.925 0.952
O 4.850 8.508 2.942
O -0.683 4.129 0.952
O -2.496 6.409 7.728
O 2.966 4.470 4.052
O 5.321 6.252 4.945
O 4.591 -1.523 8.839
O 0.942 1.057 5.521
O -1.412 -0.725 4.628
O -0.683 7.050 0.735
O -0.942 -2.980 6.632
O 6.404 -0.882 1.845
O 4.591 1.398 8.622
O 1.271 -1.398 8.622
O 1.742 7.558 3.835
O 4.450 4.645 7.728
O 8.029 -2.306 5.897
O 7.275 0.725 4.628
O -2.167 -4.337 9.414
O 1.271 1.523 8.839
O 3.366 -1.607 3.100
O -1.271 0.125 7.887
O -2.167 2.306 5.897
O 6.804 -4.038 8.463
O 4.920 -1.057 5.521
O -0.942 4.038 8.463
O -4.591 -0.125 7.887
O 2.496 1.607 3.100
O -4.920 2.980 6.632
O 3.696 2.031 5.738
O -3.696 4.337 9.414

=====

2.
! Sr2InSnO6, optimized geometry, DFT PBE; values from VASP
! - E_form (uncorrected) (meV per atom) = -2000
! - calculated total energy (eV per atom) = -5.99
&SYSTEM
  ibrav = 0, nat = 20, ntyp = 4
/
ATOMIC_SPECIES
Sr 87.62 Sr.upf
In 114.82 In.upf
Sn 118.71 Sn.upf
O 16.00 O.upf
CELL_PARAMETERS angstrom
5.864 0.000 -0.027
0.000 5.912 0.000
0.014 0.000 8.281
ATOMIC_POSITIONS angstrom
Sr 0.062 5.684 2.063
Sr 3.001 3.185 6.190
Sr 5.817 0.228 6.191
Sr 2.878 2.728 2.064
In 2.939 0.000 4.127
In 0.000 2.956 0.000
Sn 2.932 0.000 -0.013
Sn 0.007 2.956 4.141
O 1.725 4.256 0.376
O 4.664 4.612 4.503
O 4.154 1.656 7.878
O 1.215 1.300 3.751
O 1.662 4.184 3.776
O 4.601 4.685 7.903
O 4.216 1.729 4.479
O 1.277 1.228 0.351
O 5.373 3.111 2.094
O 2.448 5.757 6.248
O 0.505 2.801 6.160
O 3.430 0.155 2.006

=====

3.
! TaInSnO6, optimized geometry, DFT PBE; values from VASP
! - E_form (uncorrected) (meV per atom) = -2014
! - calculated total energy (eV per atom) = -7.39
&SYSTEM
  ibrav = 0, nat = 18, ntyp = 4
/
ATOMIC_SPECIES
Ta 180.95 Ta.upf
In 114.82 In.upf
Sn 118.71 Sn.upf
O 16.00 O.upf
CELL_PARAMETERS angstrom
-3.980 -2.073 2.884
3.955 -3.134 -1.728
4.766 1.711 7.807
ATOMIC_POSITIONS angstrom
Ta 2.502 -2.353 1.761
Ta 2.239 -1.144 7.202
In 0.000 0.000 0.000
In 2.383 0.855 3.904
Sn -0.143 -1.999 3.298
Sn 4.885 -1.497 5.665
O 0.665 -3.168 1.763
O 1.990 -0.910 0.459
O 1.650 0.309 5.945
O 2.751 -2.586 8.505
O 1.788 -1.196 3.242
O 4.300 -1.455 1.766
O 1.565 0.084 8.643
O 3.091 -3.805 3.019
O 0.441 -2.041 7.198
O 3.176 -3.580 0.320
O 2.953 -2.300 5.721
O 4.076 -0.328 7.201

=====

4.
! Tb4InSnO, optimized geometry, DFT PBE; values from VASP
! - E_form (uncorrected) (meV per atom) = -1205
! - calculated total energy (eV per atom) = -5.52
&SYSTEM
  ibrav = 0, nat = 14, ntyp = 4
/
ATOMIC_SPECIES
Tb 158.93 Tb.upf
In 114.82 In.upf
Sn 118.71 Sn.upf
O 16.00 O.upf
CELL_PARAMETERS angstrom
-0.373 5.958 2.630
-5.956 0.744 -2.530
-3.200 -6.282 5.686
ATOMIC_POSITIONS angstrom
Tb -4.506 0.405 6.534
Tb -7.374 -2.277 4.113
Tb -5.023 0.016 -0.748
Tb -2.155 2.698 1.673
Tb -4.765 0.210 2.893
Tb -1.600 -3.141 2.843
Tb -1.787 -0.162 4.158
Tb -4.578 -2.769 1.578
In -5.419 2.790 1.001
In -4.110 -2.370 4.785
Sn -2.234 -0.541 0.908
Sn -7.295 0.961 4.879
O -6.028 -0.964 1.329
O -3.501 1.384 4.457

=====

Sequential DOS at the Fermi energy output: 0.54; 1.04; 0.00; 0.69 states/eV per atom